No. 1
DFT (PBE-GGA) results for crystalline MgAuBr2 at its relaxed geometry.

```
data_MgAuBr2
_cell_length_a 3.527
_cell_length_b 3.527
_cell_length_c 8.279
_cell_angle_alpha 90.00
_cell_angle_beta 90.00
_cell_angle_gamma 90.00
_space_group_name_H-M_alt 'P 4 m m'
_space_group_IT_number 99
loop_
_space_group_symop_operation_xyz
'x,y,z'
'-y,x,z'
'-x,-y,z'
'y,-x,z'
'-x,y,z'
'y,x,z'
'x,-y,z'
'-y,-x,z'
loop_
_atom_site_label
_atom_site_type_symbol
_atom_site_fract_x
_atom_site_fract_y
_atom_site_fract_z
Mg1 Mg 0.000 0.000 0.000
Au1 Au 0.500 0.500 0.187
Br1 Br 0.000 0.000 0.379
Br2 Br 0.500 0.500 0.808
```

Values from the calculation:
total energy = -2.47 eV per atom
formation energy (no corrections) = -0.4123 eV/atom
offset from the most stable computed form = 213 meV/atom
magnetic moment = 0.0 μB per formula unit

=====

No. 2
DFT (PBE-GGA) results for crystalline Ba5Al at its relaxed geometry.

```
data_Ba5Al
_cell_length_a 15.140
_cell_length_b 4.340
_cell_length_c 10.682
_cell_angle_alpha 90.00
_cell_angle_beta 113.30
_cell_angle_gamma 90.00
_space_group_name_H-M_alt 'C 1 2/m 1'
_space_group_IT_number 12
loop_
_space_group_symop_operation_xyz
'x,y,z'
'-x,-y,-z'
'-x,y,-z'
'x,-y,z'
'x+1/2,y+1/2,z'
'-x+1/2,-y+1/2,-z'
'-x+1/2,y+1/2,-z'
'x+1/2,-y+1/2,z'
loop_
_atom_site_label
_atom_site_type_symbol
_atom_site_fract_x
_atom_site_fract_y
_atom_site_fract_z
Ba1 Ba 0.000 0.000 0.000
Ba2 Ba 0.128 0.500 0.374
Ba3 Ba 0.159 0.500 0.769
Al1 Al 0.000 0.000 0.500
```

Values from the calculation:
total energy = -2.24 eV per atom
energy relative to the elements = -2 kJ per mole of atoms
offset from the most stable computed form = 0 meV/atom
magnetic moment = 0.0 μB per formula unit

=====

No. 3
DFT (PBE-GGA) results for crystalline BaTmCd2Au4 at its relaxed geometry.

```
data_BaTmCd2Au4
_cell_length_a 4.8641
_cell_length_b 4.8641
_cell_length_c 28.6855
_cell_angle_alpha 90.00
_cell_angle_beta 90.00
_cell_angle_gamma 120.00
_space_group_name_H-M_alt 'R -3 m'
_space_group_IT_number 166
_space_group_name_Hall '-R 3 2"'
loop_
_atom_site_label
_atom_site_type_symbol
_atom_site_fract_x
_atom_site_fract_y
_atom_site_fract_z
Ba1 Ba 0.0000 0.0000 0.0000
Tm1 Tm 0.0000 0.0000 0.5000
Cd1 Cd 0.0000 0.0000 0.2382
Au1 Au 0.0000 0.0000 0.1290
Au2 Au 0.0000 0.0000 0.4000
```

Values from the calculation:
total energy = -3.25 eV per atom
energy relative to the elements = -56 kJ per mole of atoms
magnetic moment = 0.0 μB per formula unit

=====

No. 4
DFT (PBE-GGA) results for crystalline Mg2ZnPb at its relaxed geometry.

```
data_Mg2ZnPb
_cell_length_a 10.800
_cell_length_b 3.504
_cell_length_c 5.101
_cell_angle_alpha 90.00
_cell_angle_beta 108.83
_cell_angle_gamma 90.00
_space_group_name_H-M_alt 'C 1 m 1'
_space_group_IT_number 8
loop_
_space_group_symop_operation_xyz
'x,y,z'
'x,-y,z'
'x+1/2,y+1/2,z'
'x+1/2,-y+1/2,z'
loop_
_atom_site_label
_atom_site_type_symbol
_atom_site_fract_x
_atom_site_fract_y
_atom_site_fract_z
Mg1 Mg 0.000 0.000 0.000
Mg2 Mg 0.227 0.000 0.671
Zn1 Zn 0.228 0.500 0.136
Pb1 Pb 0.465 0.000 0.469
```

Values from the calculation:
total energy = -2.04 eV per atom
energy relative to the elements = 0 kJ per mole of atoms
magnetic moment = 0.0 μB per formula unit

=====

No. 5
DFT (PBE-GGA) results for crystalline PmNdBiN at its relaxed geometry.

```
data_PmNdBiN
_cell_length_a 4.717
_cell_length_b 4.717
_cell_length_c 9.390
_cell_angle_alpha 90.00
_cell_angle_beta 90.00
_cell_angle_gamma 90.00
_space_group_name_H-M_alt 'P 4/n m m'
_space_group_IT_number 129
loop_
_space_group_symop_operation_xyz
'x,y,z'
'-x,-y,-z'
'-y+1/2,x,z'
'y+1/2,-x,-z'
'-x+1/2,-y+1/2,z'
'x+1/2,y+1/2,-z'
'y,-x+1/2,z'
'-y,x+1/2,-z'
'x+1/2,-y,-z'
'-x+1/2,y,z'
'-y,-x,-z'
'y,x,z'
'-x,y+1/2,-z'
'x,-y+1/2,z'
'y+1/2,x+1/2,-z'
'-y+1/2,-x+1/2,z'
loop_
_atom_site_label
_atom_site_type_symbol
_atom_site_fract_x
_atom_site_fract_y
_atom_site_fract_z
Pm1 Pm 0.250 0.750 0.000
Nd1 Nd 0.250 0.250 0.322
Bi1 Bi 0.250 0.250 0.693
N1 N 0.250 0.250 0.079
```

Values from the calculation:
total energy = -6.62 eV per atom
formation energy (no corrections) = -1.1860 eV/atom
magnetic moment = 0.0 μB per formula unit

=====

Question: What is the formula in the fourth record?
Answer: Mg2ZnPb

=====

Question: What is the total energy in the third record?
Answer: -3.25 eV per atom

=====

Question: total energy of number 1 (MgAuBr2)?
Answer: -2.47 eV per atom